# 1
! LiCuIr4 PBE-GGA relaxed; values from VASP
! formation energy from the elements: 2.3 eV per formula unit
&SYSTEM
  ibrav = 0, nat = 6, ntyp = 3
/
ATOMIC_SPECIES
Li 6.94 Li.upf
Cu 63.55 Cu.upf
Ir 192.22 Ir.upf
CELL_PARAMETERS angstrom
0.000 3.645 3.645
3.645 0.000 3.645
3.645 3.645 0.000
ATOMIC_POSITIONS crystal
Li 0.000 0.000 0.000
Cu 0.750 0.750 0.750
Ir 0.375 0.375 0.375
Ir 0.375 0.375 0.875
Ir 0.375 0.875 0.375
Ir 0.875 0.375 0.375



# 2
! Li2CuIr PBE-GGA relaxed; values from VASP
! energy relative to the lowest polymorph listed for this composition: 99.6 meV per atom
! formation energy from the elements: -0.1 eV per formula unit
&SYSTEM
  ibrav = 0, nat = 4, ntyp = 3
/
ATOMIC_SPECIES
Li 6.94 Li.upf
Cu 63.55 Cu.upf
Ir 192.22 Ir.upf
CELL_PARAMETERS angstrom
-1.291 2.240 4.539
1.291 -2.240 4.539
1.291 2.240 -4.539
ATOMIC_POSITIONS crystal
Li 0.000 0.000 0.000
Li 0.742 0.242 0.500
Cu 0.504 0.504 0.000
Ir 0.259 0.759 0.500



# 3
! LiCuIr2 PBE-GGA relaxed; values from VASP
! formation energy from the elements: 2.3 eV per formula unit
&SYSTEM
  ibrav = 0, nat = 8, ntyp = 3
/
ATOMIC_SPECIES
Li 6.94 Li.upf
Cu 63.55 Cu.upf
Ir 192.22 Ir.upf
CELL_PARAMETERS angstrom
-3.531 3.531 2.430
3.531 -3.531 2.430
3.531 3.531 -2.430
ATOMIC_POSITIONS crystal
Li 0.000 0.000 0.000
Li 0.750 0.250 0.500
Cu 0.250 0.750 0.500
Cu 0.500 0.500 0.000
Ir 0.149 0.125 0.524
Ir 0.375 0.851 0.976
Ir 0.601 0.625 0.476
Ir 0.875 0.399 0.024



- Which of these has the lowest formation energy from the elements?
  Li2CuIr